Entry P
The following is a PBEsol calculation of a geometry-optimized Mo2OsRu structure, from the Alexandria database.

Values from the calculation:
- Size of the total moment: 0.000 μB/f.u.
- Space group: I-4m2 (119)
- V: 116 Å³/cell

The structure in POSCAR format:
```
Mo2OsRu
1.0
3.832 0.000 0.000
0.000 3.832 0.000
0.000 0.000 7.892
Mo Os Ru
4 2 2
Direct
0.000 0.000 0.000
0.000 0.500 0.250
0.500 0.000 0.750
0.500 0.500 0.500
0.000 0.000 0.500
0.500 0.500 0.000
0.000 0.500 0.750
0.500 0.000 0.250
```

Entry Q
The following is a PBEsol calculation of a geometry-optimized Mo2OsRu structure, from the Alexandria database.

Values from the calculation:
- Size of the total moment: 0.000 μB/f.u.
- Space group: I4/mmm (139)
- V: 116 Å³/cell

The structure in POSCAR format:
```
Mo2OsRu
1.0
3.889 0.000 0.000
0.000 3.889 0.000
0.000 0.000 7.644
Mo Os Ru
4 2 2
Direct
0.000 0.500 0.250
0.000 0.500 0.750
0.500 0.000 0.250
0.500 0.000 0.750
0.000 0.000 0.000
0.500 0.500 0.500
0.000 0.000 0.500
0.500 0.500 0.000
```

The structure with the least stability is entry P.

Entry P
The following is a PBEsol calculation of a geometry-optimized Mo2OsRu structure, from the Alexandria database.

Values from the calculation:
- Size of the total moment: 0.000 μB/f.u.
- Space group: Cmmm (65)
- V: 116 Å³/cell

The structure in POSCAR format:
```
Mo2OsRu
1.0
5.501 0.000 0.000
0.000 7.667 0.000
0.000 0.000 2.744
Mo Os Ru
4 2 2
Direct
0.250 0.250 0.000
0.250 0.750 0.000
0.750 0.250 0.000
0.750 0.750 0.000
0.000 0.000 0.500
0.500 0.500 0.500
0.000 0.500 0.500
0.500 0.000 0.500
```

Entry Q
The following is a PBEsol calculation of a geometry-optimized Mo2OsRu structure, from the Alexandria database.

Values from the calculation:
- Size of the total moment: 0.403 μB/f.u.
- Space group: F-43m (216)
- V: 234 Å³/cell

The structure in POSCAR format:
```
Mo2OsRu
1.0
6.158 0.000 0.000
0.000 6.158 0.000
0.000 0.000 6.158
Mo Os Ru
8 4 4
Direct
0.000 0.000 0.000
0.000 0.500 0.500
0.250 0.250 0.250
0.250 0.750 0.750
0.500 0.000 0.500
0.500 0.500 0.000
0.750 0.250 0.750
0.750 0.750 0.250
0.000 0.000 0.500
0.000 0.500 0.000
0.500 0.000 0.000
0.500 0.500 0.500
0.250 0.250 0.750
0.250 0.750 0.250
0.750 0.250 0.250
0.750 0.750 0.750
```

Entry R
The following is a PBEsol calculation of a geometry-optimized Mo2OsRu structure, from the Alexandria database.

Values from the calculation:
- Size of the total moment: 0.003 μB/f.u.
- Space group: P4/mmm (123)
- V: 59 Å³/cell

The structure in POSCAR format:
```
Mo2OsRu
1.0
4.568 0.000 0.000
0.000 4.568 0.000
0.000 0.000 2.813
Mo Os Ru
2 1 1
Direct
0.000 0.500 0.000
0.500 0.000 0.000
0.000 0.000 0.500
0.500 0.500 0.500
```

The structure with the least stability is entry Q.

Entry P
The following is a PBEsol calculation of a geometry-optimized Te2MoOs structure, from the Alexandria database.

Values from the calculation:
- Size of the total moment: 0.000 μB/f.u.
- Space group: Pm (6)
- V: 87 Å³/cell

The structure in POSCAR format:
```
Te2MoOs
1.0
2.977 0.000 0.000
0.000 3.900 0.000
-1.279 0.000 7.473
Te Mo Os
2 1 1
Direct
0.000 0.000 0.000
0.294 0.500 0.602
0.601 0.500 0.218
0.165 0.000 0.357
```

Entry Q
The following is a PBEsol calculation of a geometry-optimized Te2MoOs structure, from the Alexandria database.

Values from the calculation:
- Size of the total moment: 0.000 μB/f.u.
- Space group: Pmmm (47)
- V: 76 Å³/cell

The structure in POSCAR format:
```
Te2MoOs
1.0
3.196 0.000 0.000
0.000 4.388 0.000
0.000 0.000 5.409
Te Mo Os
2 1 1
Direct
0.000 0.000 0.000
0.500 0.000 0.500
0.000 0.500 0.500
0.500 0.500 0.000
```

Entry R
The following is a PBEsol calculation of a geometry-optimized Te2MoOs structure, from the Alexandria database.

Values from the calculation:
- Size of the total moment: 0.000 μB/f.u.
- Space group: Imm2 (44)
- V: 161 Å³/cell

The structure in POSCAR format:
```
Te2MoOs
1.0
3.209 0.000 0.000
0.000 4.115 0.000
0.000 0.000 12.210
Te Mo Os
4 2 2
Direct
0.000 0.000 0.000
0.000 0.500 0.244
0.500 0.000 0.744
0.500 0.500 0.500
0.000 0.500 0.850
0.500 0.000 0.350
0.000 0.000 0.534
0.500 0.500 0.034
```

The structure with the least stability is entry Q.

Entry P
The following is a PBEsol calculation of a geometry-optimized TlMoOs2 structure, from the Alexandria database.

Values from the calculation:
- Size of the total moment: 0.000 μB/f.u.
- Space group: C2/m (12)
- V: 129 Å³/cell

The structure in POSCAR format:
```
TlMoOs2
1.0
9.267 0.000 0.000
0.000 2.863 0.000
-0.923 0.000 4.872
Tl Mo Os
2 2 4
Direct
0.000 0.000 0.000
0.500 0.500 0.000
0.000 0.500 0.500
0.500 0.000 0.500
0.236 0.000 0.713
0.264 0.500 0.287
0.736 0.500 0.713
0.764 0.000 0.287
```

Entry Q
The following is a PBEsol calculation of a geometry-optimized TlMoOs2 structure, from the Alexandria database.

Values from the calculation:
- Size of the total moment: 0.000 μB/f.u.
- Space group: Pmmm (47)
- V: 64 Å³/cell

The structure in POSCAR format:
```
TlMoOs2
1.0
2.845 0.000 0.000
0.000 3.832 0.000
0.000 0.000 5.914
Tl Mo Os
1 1 2
Direct
0.000 0.000 0.000
0.000 0.000 0.500
0.500 0.500 0.280
0.500 0.500 0.720
```

The structure with the least stability is entry P.

Entry P
The following is a PBEsol calculation of a geometry-optimized TlMoOs2 structure, from the Alexandria database.

Values from the calculation:
- Size of the total moment: 0.000 μB/f.u.
- Space group: F-43m (216)
- V: 255 Å³/cell

The structure in POSCAR format:
```
TlMoOs2
1.0
6.345 0.000 0.000
0.000 6.345 0.000
0.000 0.000 6.345
Tl Mo Os
4 4 8
Direct
0.000 0.000 0.000
0.000 0.500 0.500
0.500 0.000 0.500
0.500 0.500 0.000
0.250 0.250 0.250
0.250 0.750 0.750
0.750 0.250 0.750
0.750 0.750 0.250
0.000 0.000 0.500
0.000 0.500 0.000
0.250 0.250 0.750
0.250 0.750 0.250
0.500 0.000 0.000
0.500 0.500 0.500
0.750 0.250 0.250
0.750 0.750 0.750
```

Entry Q
The following is a PBEsol calculation of a geometry-optimized TlMoOs2 structure, from the Alexandria database.

Values from the calculation:
- Size of the total moment: 0.000 μB/f.u.
- Space group: I-4m2 (119)
- V: 126 Å³/cell

The structure in POSCAR format:
```
TlMoOs2
1.0
3.861 0.000 0.000
0.000 3.861 0.000
0.000 0.000 8.464
Tl Mo Os
2 2 4
Direct
0.000 0.000 0.000
0.500 0.500 0.500
0.000 0.500 0.250
0.500 0.000 0.750
0.000 0.000 0.500
0.000 0.500 0.750
0.500 0.000 0.250
0.500 0.500 0.000
```

The structure with the least stability is entry P.

Entry P
The following is a PBEsol calculation of a geometry-optimized Mo2OsW structure, from the Alexandria database.

Values from the calculation:
- Size of the total moment: 0.000 μB/f.u.
- Space group: Pmmm (47)
- V: 60 Å³/cell

The structure in POSCAR format:
```
Mo2OsW
1.0
3.100 0.000 0.000
0.000 4.396 0.000
0.000 0.000 4.429
Mo Os W
2 1 1
Direct
0.000 0.000 0.000
0.500 0.500 0.000
0.000 0.500 0.500
0.500 0.000 0.500
```

Entry Q
The following is a PBEsol calculation of a geometry-optimized Mo2OsW structure, from the Alexandria database.

Values from the calculation:
- Size of the total moment: 0.000 μB/f.u.
- Space group: R3m (160)
- V: 183 Å³/cell

The structure in POSCAR format:
```
Mo2OsW
1.0
2.751 0.000 0.000
-1.376 2.383 0.000
0.000 0.000 27.891
Mo Os W
6 3 3
Direct
0.000 0.000 0.000
0.000 0.000 0.246
0.333 0.667 0.667
0.333 0.667 0.913
0.667 0.333 0.333
0.667 0.333 0.580
0.000 0.000 0.746
0.333 0.667 0.413
0.667 0.333 0.079
0.000 0.000 0.493
0.333 0.667 0.159
0.667 0.333 0.826
```

The structure with the least stability is entry Q.